(1)
The following is a GGA-PBE calculation of a geometry-optimized Ac2ErH12Rh3 structure, from Alexandria.

Summary:
density of states at the Fermi level = 5.8 states/eV/cell
raw total energy = -4.56 eV/atom
SG = R-3m, No. 166

a b c (Å): 6.173 6.173 6.173
angles (deg): 67.34 67.34 67.34
Atoms (fractional coordinates):
Er (0.000, 0.000, 0.000)
H (0.095, 0.711, 0.711)
H (0.877, 0.389, 0.877)
H (0.905, 0.289, 0.289)
H (0.389, 0.877, 0.877)
H (0.123, 0.123, 0.611)
H (0.711, 0.711, 0.095)
H (0.123, 0.611, 0.123)
H (0.289, 0.905, 0.289)
H (0.611, 0.123, 0.123)
H (0.877, 0.877, 0.389)
H (0.289, 0.289, 0.905)
H (0.711, 0.095, 0.711)
Rh (0.000, 0.000, 0.500)
Rh (0.500, 0.000, 0.000)
Rh (0.000, 0.500, 0.000)
Ac (0.378, 0.378, 0.378)
Ac (0.622, 0.622, 0.622)

(2)
The following is a GGA-PBE calculation of a geometry-optimized Nd3ZrZn4 structure, from Alexandria.

Summary:
density of states at the Fermi level = 8.6 states/eV/cell
energy of formation from the pure elements = -0.27 eV per atom
SG = P4/mmm, No. 123

a b c (Å): 3.582 3.582 14.490
angles (deg): 90.00 90.00 90.00
Atoms (fractional coordinates):
Zn (0.000, 0.000, 0.101)
Zn (0.000, 0.000, 0.630)
Zn (0.000, 0.000, 0.899)
Zn (0.000, 0.000, 0.370)
Nd (0.500, 0.500, 0.763)
Nd (0.500, 0.500, 0.237)
Nd (0.500, 0.500, 0.500)
Zr (0.500, 0.500, 0.000)